The following is a DFT calculation (SCAN) of CdB2Cl2 at its PBEsol-relaxed geometry.

Properties
Uncorrected formation energy = 307 meV per atom
Space-group type = P4/mmm, No. 123

a = 3.196 Å, b = 5.174 Å, c = 5.174 Å
α = 90.00°, β = 90.00°, γ = 90.00°
Positions (direct):
B 0.000 0.000 0.000
B 0.500 0.000 0.000
Cl 0.000 0.000 0.500
Cl 0.000 0.500 0.000
Cd 0.500 0.500 0.500

The following is a DFT calculation (SCAN) of CdBCl2 at its PBEsol-relaxed geometry.

Properties
Uncorrected formation energy = 454 meV per atom
Space-group type = R-3m, No. 166

a = 3.106 Å, b = 3.106 Å, c = 9.031 Å
α = 80.10°, β = 80.10°, γ = 60.00°
Positions (direct):
B 0.500 0.500 0.500
Cl 0.883 0.883 0.351
Cl 0.117 0.117 0.649
Cd 0.000 0.000 0.000

The following is a DFT calculation (SCAN) of CdBS2Cl at its PBEsol-relaxed geometry.

Properties
Uncorrected formation energy = 1173 meV per atom
Space-group type = P4/mmm, No. 123

a = 4.863 Å, b = 4.863 Å, c = 5.117 Å
α = 90.00°, β = 90.00°, γ = 90.00°
Each line ends with the local moment (μB).
Positions (direct):
S 0.000 0.500 0.000  0.33
S 0.500 0.000 0.000  0.33
Cl 0.000 0.000 0.500  0.09
B 0.500 0.500 0.500  -0.03
Cd 0.000 0.000 0.000  0.01

The following is a DFT calculation (SCAN) of CdCoB2 at its PBEsol-relaxed geometry.

Properties
Space-group type = I4_1/amd, No. 141
Formation enthalpy at 0 K = 0.427 eV per atom

a = 3.633 Å, b = 3.633 Å, c = 7.449 Å
α = 104.12°, β = 104.12°, γ = 90.00°
Each line ends with the local moment (μB).
Positions (direct):
B 0.625 0.375 0.750  0.02
B 0.125 0.375 0.750  0.02
B 0.625 0.875 0.250  0.02
B 0.625 0.375 0.250  0.02
Co 0.500 0.500 0.000  0.66
Co 0.750 0.250 0.500  0.66
Cd 0.000 0.000 0.000  -0.01
Cd 0.250 0.750 0.500  -0.01

The following is a DFT calculation (SCAN) of Cd2InCoB at its PBEsol-relaxed geometry.

Properties
Space-group type = P4/mmm, No. 123
Formation enthalpy at 0 K = 1.688 eV per atom

a = 4.774 Å, b = 5.184 Å, c = 5.184 Å
α = 90.00°, β = 90.00°, γ = 90.00°
Each line ends with the local moment (μB).
Positions (direct):
B 0.500 0.500 0.500  -0.18
Cd 0.000 0.000 0.500  -0.01
Cd 0.000 0.500 0.000  -0.01
Co 0.500 0.000 0.000  1.90
In 0.000 0.000 0.000  -0.02

The following is a DFT calculation (SCAN) of Cr2CdB at its PBEsol-relaxed geometry.

Properties
Space-group type = Fm-3m, No. 225
Formation enthalpy at 0 K = 0.732 eV per atom

a = 4.161 Å, b = 4.161 Å, c = 4.161 Å
α = 60.00°, β = 60.00°, γ = 60.00°
Each line ends with the local moment (μB).
Positions (direct):
Cr 0.250 0.250 0.250  3.31
Cr 0.750 0.750 0.750  3.31
B 0.000 0.000 0.000  -0.33
Cd 0.500 0.500 0.500  0.03

no.,electronic total energy (eV/atom),DOS(E_F) (states/eV/atom)
1,-11.94,0.39
2,-13.00,0.43
3,-11.84,0.97
4,-15.22,0.37
5,-22.10,0.57
6,-17.92,0.35